Entry 1:
DFT (PBE-GGA) results for a relaxed structure of KSb4Pd6.

Structure (CIF):
```
data_KSb4Pd6
_chemical_formula_sum 'K1 Sb4 Pd6'
_cell_length_a 7.7318
_cell_length_b 7.7318
_cell_length_c 4.3178
_cell_angle_alpha 90.00
_cell_angle_beta 90.00
_cell_angle_gamma 120.00
_symmetry_space_group_name_H-M 'P -6 m 2'
_symmetry_Int_Tables_number 187
_symmetry_space_group_name_Hall 'P -6 2'
loop_
_atom_site_label
_atom_site_fract_x
_atom_site_fract_y
_atom_site_fract_z
_atom_site_occupancy
K1 0.0000 0.0000 0.0000 1
Sb1 0.3333 0.6667 0.0000 1
Sb2 0.3797 0.1898 0.5000 1
Pd1 0.2070 0.4140 0.5000 1
Pd2 0.5401 0.0803 0.0000 1
```

## Properties
Energy relative to the elements, uncorrected in eV/atom: -0.425
Density of states at the Fermi level in states/eV/cell: 6.12
E in eV per atom: -4.86



Entry 2:
DFT (PBE-GGA) results for a relaxed structure of KSbPd2.

Structure (CIF):
```
data_KSbPd2
_chemical_formula_sum 'K3 Sb3 Pd6'
_cell_length_a 4.6073
_cell_length_b 4.6073
_cell_length_c 17.6933
_cell_angle_alpha 90.00
_cell_angle_beta 90.00
_cell_angle_gamma 120.00
_symmetry_space_group_name_H-M 'R -3 m'
_symmetry_Int_Tables_number 166
_symmetry_space_group_name_Hall '-R 3 2"'
loop_
_atom_site_label
_atom_site_fract_x
_atom_site_fract_y
_atom_site_fract_z
_atom_site_occupancy
K1 0.0000 0.0000 0.0000 1
Sb1 0.0000 0.0000 0.5000 1
Pd1 0.0000 0.0000 0.1896 1
```

## Properties
Energy relative to the elements, uncorrected in eV/atom: -0.418
Density of states at the Fermi level in states/eV/cell: 6.44
E in eV per atom: -4.32



Entry 3:
DFT (PBE-GGA) results for a relaxed structure of K2Sb5Pd3.

Structure (CIF):
```
data_K2Sb5Pd3
_chemical_formula_sum 'K8 Sb20 Pd12'
_cell_length_a 11.355
_cell_length_b 13.193
_cell_length_c 6.873
_cell_angle_alpha 90.00
_cell_angle_beta 90.00
_cell_angle_gamma 90.00
_symmetry_space_group_name_H-M 'I b a m'
_symmetry_Int_Tables_number 72
_symmetry_space_group_name_Hall '-I 2 2c'
loop_
_atom_site_label
_atom_site_fract_x
_atom_site_fract_y
_atom_site_fract_z
_atom_site_occupancy
K1 0.238 0.137 0.000 1
Sb1 0.000 0.000 0.250 1
Sb2 0.000 0.262 0.250 1
Sb3 0.151 0.402 0.000 1
Pd1 0.000 0.500 0.250 1
Pd2 0.113 0.133 0.500 1
```

## Properties
Energy relative to the elements, uncorrected in eV/atom: -0.394
Density of states at the Fermi level in states/eV/cell: 20.01
E in eV per atom: -4.23



Entry 4:
DFT (PBE-GGA) results for a relaxed structure of K3Sb5Pd6.

Structure (CIF):
```
data_K3Sb5Pd6
_chemical_formula_sum 'K6 Sb10 Pd12'
_cell_length_a 4.445
_cell_length_b 13.516
_cell_length_c 11.419
_cell_angle_alpha 90.00
_cell_angle_beta 90.00
_cell_angle_gamma 90.00
_symmetry_space_group_name_H-M 'P m m n'
_symmetry_Int_Tables_number 59
loop_
_symmetry_equiv_pos_as_xyz
'x,y,z'
'-x,-y,-z'
'-x+1/2,-y+1/2,z'
'x+1/2,y+1/2,-z'
'x+1/2,-y,-z'
'-x+1/2,y,z'
'-x,y+1/2,-z'
'x,-y+1/2,z'
loop_
_atom_site_label
_atom_site_fract_x
_atom_site_fract_y
_atom_site_fract_z
_atom_site_occupancy
K1 0.250 0.106 0.244 1
K2 0.250 0.750 0.246 1
Sb1 0.250 0.072 0.646 1
Sb2 0.250 0.625 0.993 1
Sb3 0.250 0.750 0.588 1
Pd1 0.250 0.055 0.889 1
Pd2 0.250 0.250 0.534 1
Pd3 0.250 0.250 0.987 1
Pd4 0.250 0.574 0.485 1
```

## Properties
Energy relative to the elements, uncorrected in eV/atom: -0.431
Density of states at the Fermi level in states/eV/cell: 10.59
E in eV per atom: -4.36



Entry 5:
DFT (PBE-GGA) results for a relaxed structure of K2Sb4Pd5.

Structure (CIF):
```
data_K2Sb4Pd5
_chemical_formula_sum 'K8 Sb16 Pd20'
_cell_length_a 6.456
_cell_length_b 12.469
_cell_length_c 14.214
_cell_angle_alpha 90.00
_cell_angle_beta 90.00
_cell_angle_gamma 90.00
_symmetry_space_group_name_H-M 'F m m m'
_symmetry_Int_Tables_number 69
_symmetry_space_group_name_Hall '-F 2 2'
loop_
_atom_site_label
_atom_site_fract_x
_atom_site_fract_y
_atom_site_fract_z
_atom_site_occupancy
K1 0.000 0.000 0.136 1
Sb1 0.000 0.156 0.373 1
Pd1 0.000 0.000 0.500 1
Pd2 0.250 0.250 0.000 1
Pd3 0.250 0.250 0.250 1
```

## Properties
Energy relative to the elements, uncorrected in eV/atom: -0.424
Density of states at the Fermi level in states/eV/cell: 19.98
E in eV per atom: -4.48



Entry 6:
DFT (PBE-GGA) results for a relaxed structure of KSb3Pd.

Structure (CIF):
```
data_KSb3Pd
_chemical_formula_sum 'K2 Sb6 Pd2'
_cell_length_a 6.881
_cell_length_b 6.316
_cell_length_c 6.947
_cell_angle_alpha 90.00
_cell_angle_beta 102.70
_cell_angle_gamma 90.00
_symmetry_space_group_name_H-M 'P 1 21 1'
_symmetry_Int_Tables_number 4
_symmetry_space_group_name_Hall 'P 2yb'
loop_
_atom_site_label
_atom_site_fract_x
_atom_site_fract_y
_atom_site_fract_z
_atom_site_occupancy
K1 0.166 0.000 0.188 1
Sb1 0.056 0.008 0.670 1
Sb2 0.337 0.661 0.822 1
Sb3 0.455 0.528 0.301 1
Pd1 0.270 0.335 0.572 1
```

## Properties
Energy relative to the elements, uncorrected in eV/atom: -0.291
Density of states at the Fermi level in states/eV/cell: 4.18
Polymorph energy (0 for the lowest one) in eV/f.u.: 0.00
E in eV per atom: -4.02



Entry 7:
DFT (PBE-GGA) results for a relaxed structure of K3Sb4Pd4.

Structure (CIF):
```
data_K3Sb4Pd4
_chemical_formula_sum 'K6 Sb8 Pd8'
_cell_length_a 4.690
_cell_length_b 4.965
_cell_length_c 25.877
_cell_angle_alpha 90.00
_cell_angle_beta 90.00
_cell_angle_gamma 90.00
_symmetry_space_group_name_H-M 'I m m m'
_symmetry_Int_Tables_number 71
_symmetry_space_group_name_Hall '-I 2 2'
loop_
_atom_site_label
_atom_site_fract_x
_atom_site_fract_y
_atom_site_fract_z
_atom_site_occupancy
K1 0.000 0.000 0.000 1
K2 0.000 0.500 0.353 1
Sb1 0.000 0.000 0.446 1
Sb2 0.000 0.500 0.203 1
Pd1 0.000 0.000 0.246 1
Pd2 0.000 0.500 0.101 1
```

## Properties
Energy relative to the elements, uncorrected in eV/atom: -0.424
Density of states at the Fermi level in states/eV/cell: 11.38
Polymorph energy (0 for the lowest one) in eV/f.u.: 0.00
E in eV per atom: -4.11



Entry 8:
DFT (PBE-GGA) results for a relaxed structure of KSb4Pd4.

Structure (CIF):
```
data_KSb4Pd4
_chemical_formula_sum 'K2 Sb8 Pd8'
_cell_length_a 9.166
_cell_length_b 9.166
_cell_length_c 5.405
_cell_angle_alpha 90.00
_cell_angle_beta 90.00
_cell_angle_gamma 90.00
_symmetry_space_group_name_H-M 'P 42/n'
_symmetry_Int_Tables_number 86
loop_
_symmetry_equiv_pos_as_xyz
'x,y,z'
'-x,-y,-z'
'-y,x+1/2,z+1/2'
'y,-x+1/2,-z+1/2'
'-x+1/2,-y+1/2,z'
'x+1/2,y+1/2,-z'
'y+1/2,-x,z+1/2'
'-y+1/2,x,-z+1/2'
loop_
_atom_site_label
_atom_site_fract_x
_atom_site_fract_y
_atom_site_fract_z
_atom_site_occupancy
K1 0.250 0.250 0.250 1
Sb1 0.116 0.621 0.177 1
Pd1 0.081 0.915 0.178 1
```

## Properties
Energy relative to the elements, uncorrected in eV/atom: -0.372
Density of states at the Fermi level in states/eV/cell: 9.31
E in eV per atom: -4.63



Q: What is the energy relative to the elements, uncorrected in the sixth record?
A: -0.291 eV/atom